An optimized crystal structure of Tb3Sm8Er4, computed with PBE.

Values from the calculation:
Excess energy over the best structure of this formula in the dataset ... 194 meV/atom
ΔH_f (0 K) ... 0.35 eV per atom

Structure (POSCAR):
```
Tb3Sm8Er4
1.0
6.821 -6.063 0.000
6.821 6.063 0.000
-3.186 0.000 6.049
Tb Sm Er
3 8 4
Cartesian
0.000 0.000 0.000 Tb
1.818 3.032 3.024 Tb
1.818 -3.032 3.024 Tb
0.628 0.000 4.064 Sm
5.228 3.587 3.024 Sm
6.821 2.996 0.000 Sm
2.826 0.000 1.257 Sm
7.631 0.000 4.792 Sm
6.821 -2.996 0.000 Sm
5.228 -3.587 3.024 Sm
9.829 0.000 1.985 Sm
3.411 3.032 0.000 Er
3.411 -3.032 0.000 Er
6.821 0.000 0.000 Er
5.228 0.000 3.024 Er
```

***

An optimized crystal structure of LiAc2PaSe5, computed with PBE.

Structure (POSCAR):
```
LiAc2PaSe5
1.0
2.141 -8.957 0.000
2.141 8.957 0.000
0.000 0.000 12.790
Li Ac Pa Se
2 4 2 10
Cartesian
2.141 8.163 6.395 Li
2.141 -8.163 0.000 Li
2.141 2.294 4.460 Ac
2.141 1.961 9.356 Ac
2.141 -1.961 2.961 Ac
2.141 -2.294 10.855 Ac
2.141 3.568 0.671 Pa
2.141 -3.568 7.066 Pa
2.141 8.892 10.459 Se
2.141 6.461 0.572 Se
2.141 5.595 5.088 Se
2.141 5.172 9.038 Se
2.141 0.869 1.269 Se
2.141 -0.869 7.664 Se
2.141 -5.172 2.644 Se
2.141 -5.595 11.483 Se
2.141 -6.461 6.967 Se
2.141 -8.892 4.065 Se
```

***

An optimized crystal structure of AcCoSn4, computed with PBE.

Values from the calculation:
Excess energy over the best structure of this formula in the dataset ... 0 meV/atom
ΔH_f (0 K) ... -0.35 eV per atom

Structure (POSCAR):
```
AcCoSn4
1.0
2.264 -9.221 0.000
2.264 9.221 0.000
0.000 0.000 7.155
Ac Co Sn
2 2 8
Cartesian
2.264 7.141 5.366 Ac
2.264 -7.141 1.789 Ac
2.264 5.279 1.789 Co
2.264 -5.279 5.366 Co
2.264 7.807 1.789 Sn
2.264 3.589 3.868 Sn
2.264 3.589 6.864 Sn
2.264 0.000 0.000 Sn
2.264 0.000 3.577 Sn
2.264 -3.589 0.290 Sn
2.264 -3.589 3.287 Sn
2.264 -7.807 5.366 Sn
```

***

An optimized crystal structure of Sn3PtF, computed with PBE.

Values from the calculation:
Excess energy over the best structure of this formula in the dataset ... 9 meV/atom

Structure (POSCAR):
```
Sn3PtF
1.0
4.815 0.000 0.000
0.000 4.815 0.000
0.000 0.000 4.815
Sn Pt F
3 1 1
Cartesian
0.000 0.000 2.408 Sn
0.000 2.408 0.000 Sn
2.408 0.000 0.000 Sn
2.408 2.408 2.408 Pt
0.000 0.000 0.000 F
```

***

An optimized crystal structure of Tb6Pm2NdSc3, computed with PBE.

Values from the calculation:
ΔH_f (0 K) ... 0.05 eV per atom

Structure (POSCAR):
```
Tb6Pm2NdSc3
1.0
3.054 -5.290 0.000
3.054 5.290 0.000
-2.036 0.000 11.388
Tb Pm Nd Sc
6 2 1 3
Cartesian
0.002 1.764 8.679 Tb
1.016 0.000 2.707 Tb
0.002 -1.764 8.679 Tb
4.069 1.764 2.709 Tb
3.055 0.000 8.681 Tb
4.069 -1.764 2.709 Tb
2.035 1.762 5.694 Pm
2.035 -1.762 5.694 Pm
-1.018 0.000 5.694 Nd
3.054 3.524 0.000 Sc
3.054 0.000 0.000 Sc
3.054 -3.524 0.000 Sc
```

***

An optimized crystal structure of Sc5RuAu4, computed with PBE.

Values from the calculation:
ΔH_f (0 K) ... -0.78 eV per atom

Structure (POSCAR):
```
Sc5RuAu4
1.0
3.347 0.000 0.000
0.000 3.347 0.000
0.000 0.000 17.023
Sc Ru Au
5 1 4
Cartesian
0.000 0.000 0.000 Sc
0.000 0.000 3.487 Sc
0.000 0.000 6.982 Sc
0.000 0.000 10.041 Sc
0.000 0.000 13.535 Sc
1.673 1.673 8.511 Ru
1.673 1.673 1.726 Au
1.673 1.673 5.207 Au
1.673 1.673 11.815 Au
1.673 1.673 15.297 Au
```

***

The records above give, respectively, size of the total moment values of 0.000; 1.365; 0.000; 0.000; 0.000; 0.000 μB/f.u..
The records above give, respectively, calculated total energy values of -4.305; -5.791; -4.886; -4.183; -5.040; -6.181 eV per atom.